# SnPbN2F | the Alexandria database | PBE-GGA | relaxed
# Calculated volume, Å³/cell: 84
# Formation energy from raw total energies, kJ/mol of atoms: 60.3
# DOS at the Fermi energy, states/eV/cell: 2.1
# Total magnetic moment, μB per atom: 0.19
# Calculated total energy, eV/atom: -4.6217
data_SnPbN2F
_chemical_formula_sum 'Sn1 Pb1 N2 F1'
_symmetry_space_group_name_H-M 'P 4/m m m'
_symmetry_Int_Tables_number 123
_symmetry_space_group_name_Hall '-P 4 2'
_cell_length_a 4.3383
_cell_length_b 4.3383
_cell_length_c 4.4546
_cell_angle_alpha 90.00
_cell_angle_beta 90.00
_cell_angle_gamma 90.00
loop_
_atom_site_label
_atom_site_fract_x
_atom_site_fract_y
_atom_site_fract_z
_atom_site_occupancy
Sn1 0.0000 0.0000 0.0000 1
Pb1 0.5000 0.5000 0.5000 1
N1 0.0000 0.5000 0.5000 1
F1 0.5000 0.5000 0.0000 1

***

# SnPbNF2 | the Alexandria database | PBE-GGA | relaxed
# Calculated volume, Å³/cell: 85
# Formation energy from raw total energies, kJ/mol of atoms: -82.9
# DOS at the Fermi energy, states/eV/cell: 1.9
# Total magnetic moment, μB per atom: 0.00
# Calculated total energy, eV/atom: -4.8148
data_SnPbNF2
_chemical_formula_sum 'Sn1 Pb1 N1 F2'
_symmetry_space_group_name_H-M 'P 4/m m m'
_symmetry_Int_Tables_number 123
_symmetry_space_group_name_Hall '-P 4 2'
_cell_length_a 4.5022
_cell_length_b 4.5022
_cell_length_c 4.1852
_cell_angle_alpha 90.00
_cell_angle_beta 90.00
_cell_angle_gamma 90.00
loop_
_atom_site_label
_atom_site_fract_x
_atom_site_fract_y
_atom_site_fract_z
_atom_site_occupancy
Sn1 0.0000 0.0000 0.0000 1
Pb1 0.5000 0.5000 0.5000 1
N1 0.0000 0.0000 0.5000 1
F1 0.0000 0.5000 0.0000 1

***

# SnPbNF2 | the Alexandria database | PBE-GGA | relaxed
# Calculated volume, Å³/cell: 93
# Formation energy from raw total energies, kJ/mol of atoms: -50.6
# DOS at the Fermi energy, states/eV/cell: 1.6
# Total magnetic moment, μB per atom: 0.00
# Calculated total energy, eV/atom: -4.4798
data_SnPbNF2
_chemical_formula_sum 'Sn1 Pb1 N1 F2'
_symmetry_space_group_name_H-M 'P 4/m m m'
_symmetry_Int_Tables_number 123
_symmetry_space_group_name_Hall '-P 4 2'
_cell_length_a 4.5661
_cell_length_b 4.5661
_cell_length_c 4.4432
_cell_angle_alpha 90.00
_cell_angle_beta 90.00
_cell_angle_gamma 90.00
loop_
_atom_site_label
_atom_site_fract_x
_atom_site_fract_y
_atom_site_fract_z
_atom_site_occupancy
Sn1 0.0000 0.0000 0.0000 1
Pb1 0.5000 0.5000 0.5000 1
N1 0.5000 0.5000 0.0000 1
F1 0.0000 0.5000 0.5000 1

***

# SrPbN2F | the Alexandria database | PBE-GGA | relaxed
# Calculated volume, Å³/cell: 90
# Formation energy from raw total energies, kJ/mol of atoms: -21.4
# DOS at the Fermi energy, states/eV/cell: 1.0
# Total magnetic moment, μB per atom: 0.22
# Calculated total energy, eV/atom: -5.0039
data_SrPbN2F
_chemical_formula_sum 'Sr1 Pb1 N2 F1'
_symmetry_space_group_name_H-M 'P 4/m m m'
_symmetry_Int_Tables_number 123
_symmetry_space_group_name_Hall '-P 4 2'
_cell_length_a 4.4356
_cell_length_b 4.4356
_cell_length_c 4.5597
_cell_angle_alpha 90.00
_cell_angle_beta 90.00
_cell_angle_gamma 90.00
loop_
_atom_site_label
_atom_site_fract_x
_atom_site_fract_y
_atom_site_fract_z
_atom_site_occupancy
Sr1 0.0000 0.0000 0.0000 1
Pb1 0.5000 0.5000 0.5000 1
N1 0.0000 0.5000 0.5000 1
F1 0.5000 0.5000 0.0000 1

***

no.,offset from the most stable computed form (meV per atom)
1,528
2,0
3,335
4,0